PBE Sr2Re, relaxed; total moment = 2.85 μB/cell; total DFT energy (no corrections) = -4.5682 eV per atom; space-group type = No. 140
1.0
-4.262 4.262 2.575
4.262 -4.262 2.575
4.262 4.262 -2.575
Sr Re
4 2
Cartesian
5.659 1.397 0.000
1.397 2.865 0.000
2.865 1.397 2.575
-1.397 2.865 2.575
0.000 0.000 1.287
0.000 0.000 3.862